# 1
Below is Pm3PC after structural relaxation, with properties calculated at the PBE level.

The value obtained for the uncorrected energy is -6.128 eV/atom.

The structure belongs to space group Pm-3m (No. 221); the cell edges are 4.9301, 4.9301 and 4.9301 Å and the angles 90.00°, 90.00° and 90.00°. Symmetry generates all atoms from Pm at (0.0000, 0.0000, 0.5000), P at (0.5000, 0.5000, 0.5000) and C at (0.0000, 0.0000, 0.0000).

---

# 2
Below is Pm3PC after structural relaxation, with properties calculated at the PBE level.

The value obtained for the uncorrected energy is -6.418 eV/atom.

The structure belongs to space group Cmcm (No. 63); the cell edges are 3.8934, 12.0779 and 9.8171 Å and the angles 90.00°, 90.00° and 90.00°. Symmetry generates all atoms from Pm at (0.0000, 0.0673, 0.2500), Pm at (0.0000, 0.3660, 0.0566), P at (0.0000, 0.2519, 0.7500) and C at (0.0000, 0.0000, 0.0000).

---

# 3
Below is Pm4PC after structural relaxation, with properties calculated at the PBE level.

The value obtained for the uncorrected energy is -6.047 eV/atom.

The structure belongs to space group I4_1md (No. 109); the cell edges are 9.1658, 9.1658 and 7.9495 Å and the angles 90.00°, 90.00° and 90.00°. Symmetry generates all atoms from Pm at (0.0000, 0.2880, 0.0000), Pm at (0.0000, 0.3058, 0.4649), P at (0.0000, 0.0000, 0.4916) and C at (0.0000, 0.0000, 0.9853).

---

no.,total magnetic moment (μB per formula unit),DOS at the Fermi energy (states/eV per cell)
1,0.00,1.93
2,0.86,15.05
3,0.74,26.75